# KInGe (GGA-PBE, relaxed)
# uncorrected energy = -16.7 eV for the cell shown
# magnetic moment = 0.000 μB/atom
# volume = 85 Å³/f.u.
# space-group type = I4mm (107)
data_KInGe
_symmetry_space_group_name_H-M 'P 1'
_symmetry_Int_Tables_number 1
_cell_length_a 3.4242
_cell_length_b 3.4242
_cell_length_c 14.5144
_cell_angle_alpha 90.00
_cell_angle_beta 90.00
_cell_angle_gamma 90.00
loop_
_symmetry_equiv_pos_as_xyz
'x,y,z'
loop_
_atom_site_label
_atom_site_type_symbol
_atom_site_fract_x
_atom_site_fract_y
_atom_site_fract_z
K1 K 0.0000 0.0000 0.0000
K2 K 0.5000 0.5000 0.5000
In1 In 0.0000 0.0000 0.6956
In2 In 0.5000 0.5000 0.1956
Ge1 Ge 0.0000 0.0000 0.3242
Ge2 Ge 0.5000 0.5000 0.8242